Computed, not measured: Pm2NiRuO6 after structural relaxation at the PBE+U level of DFT.

a b c (Å): 5.406 5.807 9.444
angles (deg): 90.00 124.69 90.00
Space group P2_1/c (No. 14)
Unique sites:
Pm1 0.229 0.071 0.251 x4
Ni1 0.500 0.000 0.000 x2
Ru1 0.000 0.000 0.500 x2
O1 0.133 0.202 0.945 x4
O2 0.253 0.695 0.948 x4
O3 0.352 0.034 0.746 x4

- VASP energy (eV/atom) = -7.333